Entry 1:
Compound: BaPd2Au
Source: the Alexandria database
Functional: PBE
Structure: relaxed

a b c (Å): 4.7136 4.7136 5.9582
angles (deg): 66.70 66.70 60.00
With the nearest neighbours (Å) after each atom.
Fractional positions:
1 Ba 0.0000 0.0000 0.0000  2 Pd 3.03
2 Pd 0.8095 0.8095 0.5716  3 Au 2.75, 3 Pd 2.83, 1 Ba 3.03
3 Au 0.5000 0.5000 0.5000  6 Pd 2.75
4 Pd 0.1905 0.1905 0.4284  3 Au 2.75, 3 Pd 2.83, 1 Ba 3.03

Summary:
Energy above the lowest structure with this stoichiometry, meV/atom: 0
DOS at the Fermi energy, states/eV/atom: 0.58
Symmetry: No. 166
Mass density, g/cm3: 8.91
Energy of formation from the pure elements, eV per atom: -0.504
Calculated total energy, eV per atom: -4.400

=====

Entry 2:
Compound: Ba2Pd5Au
Source: the Alexandria database
Functional: PBE
Structure: relaxed

a b c (Å): 6.5035 6.5035 6.5035
angles (deg): 89.79 120.18 120.07
With the nearest neighbours (Å) after each atom.
Fractional positions:
1 Au 0.0000 0.5763 0.5763  5 Pd 2.68-2.71
2 Ba 0.5000 0.3123 0.8123  10 Pd 3.26-3.29
3 Pd 0.0000 0.2817 0.2817  1 Au 2.71, 4 Pd 2.80
4 Pd 0.5824 0.8516 0.8512  1 Au 2.68, 3 Pd 2.71-2.80
5 Ba 0.5000 0.8118 0.3118  10 Pd 3.26-3.29
6 Pd 0.4176 0.2688 0.2692  1 Au 2.68, 3 Pd 2.71-2.80
7 Pd 0.0004 0.8516 0.2692  1 Au 2.68, 3 Pd 2.71-2.80
8 Pd 0.9996 0.2688 0.8512  1 Au 2.68, 3 Pd 2.71-2.80

Summary:
DOS at the Fermi energy, states/eV/atom: 0.17
Symmetry: No. 44
Mass density, g/cm3: 8.59
Energy of formation from the pure elements, eV per atom: -0.345
Calculated total energy, eV per atom: -4.481

=====

Entry 3:
Compound: Ba8PdAu4
Source: the Alexandria database
Functional: PBE
Structure: relaxed

a b c (Å): 9.3760 9.3760 9.3760
angles (deg): 60.89 60.89 60.89
With the nearest neighbours (Å) after each atom.
Fractional positions:
1 Ba 0.7448 0.7448 0.7448  3 Au 3.27
2 Ba 0.2554 0.7369 0.2554  1 Pd 3.26, 3 Au 3.29-3.41
3 Au 0.5000 0.5000 0.0000  6 Ba 3.27-3.29
4 Au 0.0000 0.0000 0.0000  6 Ba 3.41
5 Au 0.5000 0.0000 0.5000  6 Ba 3.27-3.29
6 Ba 0.7446 0.2631 0.7446  1 Pd 3.26, 3 Au 3.29-3.41
7 Ba 0.2554 0.2554 0.7369  1 Pd 3.26, 3 Au 3.29-3.41
8 Ba 0.7446 0.7446 0.2631  1 Pd 3.26, 3 Au 3.29-3.41
9 Ba 0.2631 0.7446 0.7446  1 Pd 3.26, 3 Au 3.29-3.41
10 Au 0.0000 0.5000 0.5000  6 Ba 3.27-3.29
11 Ba 0.7369 0.2554 0.2554  1 Pd 3.26, 3 Au 3.29-3.41
12 Ba 0.2552 0.2552 0.2552  3 Au 3.27
13 Pd 0.5000 0.5000 0.5000  6 Ba 3.26

Summary:
DOS at the Fermi energy, states/eV/atom: 0.77
Symmetry: No. 166
Mass density, g/cm3: 5.57
Energy of formation from the pure elements, eV per atom: -0.542
Calculated total energy, eV per atom: -3.133

=====

Entry 4:
Compound: Ba4PdAu3
Source: the Alexandria database
Functional: PBE
Structure: relaxed

a b c (Å): 4.5196 4.9132 12.2489
angles (deg): 90.00 90.00 90.00
With the nearest neighbours (Å) after each atom.
Fractional positions:
1 Pd 0.5000 0.5000 0.0728  2 Au 3.03, 2 Ba 3.36
2 Au 0.5000 0.0000 0.9274  2 Pd 3.03
3 Ba 0.0000 0.5000 0.8695  2 Pd 3.36, 5 Au 3.41-3.55
4 Au 0.0000 0.0000 0.4202  2 Au 3.14, 7 Ba 3.42-3.48
5 Au 0.0000 0.5000 0.5795  2 Au 3.14, 4 Ba 3.41
6 Ba 0.5000 0.5000 0.3581  6 Au 3.42-3.53, 1 Pd 3.49
7 Ba 0.5000 0.0000 0.6367  7 Au 3.41-3.56
8 Ba 0.0000 0.0000 0.1359  3 Au 3.41-3.48, 4 Pd 3.43

Summary:
DOS at the Fermi energy, states/eV/atom: 0.62
Symmetry: No. 25
Mass density, g/cm3: 7.61
Energy of formation from the pure elements, eV per atom: -0.673
Calculated total energy, eV per atom: -3.513